(1)
This record from the Alexandria database describes a geometry-optimized Na2MgCoPb structure. The functional is PBE-GGA.

Output
* energy of formation: 901.6 meV/atom
* magnetic moment: 2.855 μB per formula unit

Unit cell a=5.8798 b=5.8798 c=5.3835 alpha=90.00 beta=90.00 gamma=90.00
Atoms (fractional coordinates):
Na 0.0000 0.5000 0.0000
Na 0.5000 0.0000 0.0000
Mg 0.0000 0.0000 0.5000
Co 0.5000 0.5000 0.5000
Pb 0.0000 0.0000 0.0000


(2)
This record from the Alexandria database describes a geometry-optimized NaMg2CoPb structure. The functional is PBE-GGA.

Output
* energy of formation: 63.8 meV/atom
* magnetic moment: 0.000 μB per formula unit

Unit cell a=4.9640 b=4.9640 c=4.9488 alpha=90.00 beta=90.00 gamma=90.00
Atoms (fractional coordinates):
Na 0.0000 0.0000 0.0000
Mg 0.0000 0.5000 0.5000
Mg 0.5000 0.0000 0.5000
Co 0.5000 0.5000 0.5000
Pb 0.5000 0.5000 0.0000


(3)
This record from the Alexandria database describes a geometry-optimized NaMg2CoSi structure. The functional is PBE-GGA.

Output
* raw formation energy: -0.044 eV/atom
* magnetic moment: 0.000 μB per formula unit

Unit cell a=4.8794 b=4.8794 c=4.3324 alpha=90.00 beta=90.00 gamma=90.00
Atoms (fractional coordinates):
Na 0.0000 0.0000 0.0000
Mg 0.0000 0.5000 0.5000
Mg 0.5000 0.0000 0.5000
Co 0.5000 0.5000 0.5000
Si 0.5000 0.5000 0.0000


(4)
This record from the Alexandria database describes a geometry-optimized NaMg2CoSn structure. The functional is PBE-GGA.

Output
* energy of formation: 3.7 meV/atom
* magnetic moment: 0.000 μB per formula unit

Unit cell a=4.9459 b=4.9459 c=4.8234 alpha=90.00 beta=90.00 gamma=90.00
Atoms (fractional coordinates):
Na 0.0000 0.0000 0.0000
Mg 0.0000 0.5000 0.5000
Mg 0.5000 0.0000 0.5000
Co 0.5000 0.5000 0.5000
Sn 0.5000 0.5000 0.0000